# 1
RbMgSi2Tc: optimized geometry, PBE-GGA.

Summary:
energy relative to the elements, uncorrected: 1298 meV per atom

Geometry as POSCAR:
```
RbMgSi2Tc
1.0
-0.6394 3.9350 -3.1682
-3.8877 1.6915 2.8855
3.2589 2.7615 2.7721
Rb Si Tc Mg
1 2 1 1
Cartesian
-0.6341 4.1940 1.2447
-0.3197 1.9675 -1.5841
1.6295 1.3807 1.3860
-1.9438 0.8457 1.4427
0.0000 0.0000 0.0000
```

# 2
RbMgSi2Tc: optimized geometry, PBE-GGA.

Summary:
energy relative to the elements, uncorrected: 23 meV per atom

Geometry as POSCAR:
```
RbMgSi2Tc
1.0
-0.5399 -4.6394 0.7138
2.7249 0.2753 3.8503
-4.2401 0.9447 2.9332
Rb Si Mg Tc
1 2 1 1
Cartesian
-1.0276 -1.7097 3.7486
1.3624 0.1376 1.9251
-0.2699 -2.3197 0.3569
-2.1200 0.4724 1.4666
0.0000 0.0000 0.0000
```

# 3
RbMg2SiTe: optimized geometry, PBE-GGA.

Summary:
energy relative to the elements, uncorrected: 1391 meV per atom

Geometry as POSCAR:
```
RbMg2SiTe
1.0
6.0590 0.0000 0.0000
0.0000 5.7620 0.0000
0.0000 0.0000 6.0590
Mg Rb Te Si
2 1 1 1
Cartesian
3.0295 0.0000 0.0000
0.0000 0.0000 3.0295
0.0000 0.0000 0.0000
3.0295 2.8810 3.0295
0.0000 2.8810 0.0000
```

# 4
Rb2MgTiSi: optimized geometry, PBE-GGA.

Summary:
energy relative to the elements, uncorrected: 663 meV per atom

Geometry as POSCAR:
```
Rb2MgTiSi
1.0
-5.7876 3.3961 1.6251
-1.8201 -0.9309 -4.5366
-2.7922 -5.8710 2.3250
Rb Ti Mg Si
2 1 1 1
Cartesian
-2.8938 1.6980 0.8126
-1.3961 -2.9355 1.1625
-0.9101 -0.4655 -2.2683
-5.1999 -1.7030 -0.2932
0.0000 0.0000 0.0000
```

# 5
RbMgSi2W: optimized geometry, PBE-GGA.

Summary:
energy relative to the elements, uncorrected: 967 meV per atom

Geometry as POSCAR:
```
RbMgSi2W
1.0
4.8547 0.0000 0.0000
0.0000 5.9346 0.0000
0.0000 0.0000 4.8547
Mg Si Rb W
1 2 1 1
Cartesian
2.4273 2.9673 2.4273
0.0000 0.0000 2.4273
2.4273 0.0000 0.0000
0.0000 2.9673 0.0000
0.0000 0.0000 0.0000
```

# 6
RbSmMgTe3: optimized geometry, PBE-GGA.

Summary:
energy relative to the elements, uncorrected: -1219 meV per atom

Geometry as POSCAR:
```
RbSmMgTe3
1.0
-2.6621 2.8834 2.3781
-2.2582 -7.3634 6.4000
8.8934 5.2046 3.6449
Te Mg Sm Rb
6 2 2 2
Cartesian
-2.8269 -3.7004 7.9628
-1.6043 -0.4314 5.3678
5.5774 1.1560 7.0553
2.3325 3.4253 5.0985
6.8000 4.4250 4.4602
1.6406 -2.7007 7.3245
4.5548 3.2680 3.3499
-0.5817 -2.5434 9.0732
-0.9846 -3.5188 5.3778
4.9577 4.2434 7.0452
3.0155 0.3284 9.6180
0.9576 0.3962 2.8051
```

# 7
Rb2Mg4Sn: optimized geometry, PBE-GGA.

Summary:
formation energy from the elements: 0.292 eV per atom

Geometry as POSCAR:
```
Rb2Mg4Sn
1.0
-0.8945 -2.5258 4.8967
5.4642 0.2298 1.1167
0.9743 8.0707 7.5223
Sn Mg Rb
1 4 2
Cartesian
0.0000 0.0000 0.0000
2.7321 0.1149 0.5583
4.1951 0.3392 7.3042
1.3489 5.4355 6.2315
-0.4472 -1.2629 2.4484
3.6953 3.8552 9.0265
1.8488 1.9195 4.5093
```

# 8
RbMg6Sn4: optimized geometry, PBE-GGA.

Summary:
formation energy from the elements: -0.167 eV per atom

Geometry as POSCAR:
```
RbMg6Sn4
1.0
4.7037 0.0000 0.0000
0.0000 8.5508 0.0000
0.0000 -4.2754 7.4052
Mg Sn Rb
6 4 1
Cartesian
2.3519 0.0000 3.0183
2.3519 1.6614 5.8960
0.0000 4.2754 0.5324
2.3519 -1.6614 5.8960
0.0000 2.5988 3.4364
0.0000 5.9520 3.4364
2.3519 5.9949 1.4756
0.0000 0.0000 4.9368
2.3519 2.5559 1.4756
2.3519 4.2754 4.4539
0.0000 0.0000 0.0000
```

no.,magnetic moment (μB/atom)
1,0.591
2,0.000
3,0.055
4,0.412
5,0.000
6,0.000
7,0.000
8,0.000